# 1
Entry from the Alexandria database: a relaxed structure of Zr2ReAs (PBE).

Properties
Energy of formation from the pure elements in eV/atom: 0.13
SG: I-42d

Lattice parameters (Å, degrees): 5.9765 5.9765 5.9765 104.51 104.51 119.92
Positions (direct):
Zr (0.1216, 0.6250, 0.9966)
Zr (0.3750, 0.3716, 0.4966)
Zr (0.6284, 0.1250, 0.0034)
Zr (0.8750, 0.8784, 0.5034)
Re (0.0000, 0.0000, 0.0000)
Re (0.7500, 0.2500, 0.5000)
As (0.2500, 0.7500, 0.5000)
As (0.5000, 0.5000, 0.0000)

=====

# 2
Entry from the Alexandria database: a relaxed structure of Zr2ReAs (PBE).

Properties
Energy of formation from the pure elements in eV/atom: -0.18
SG: P4mm

Lattice parameters (Å, degrees): 3.2575 3.2575 7.1842 90.00 90.00 90.00
Positions (direct):
Zr (0.0000, 0.0000, 0.0000)
Zr (0.5000, 0.5000, 0.3098)
Re (0.5000, 0.5000, 0.7551)
As (0.0000, 0.0000, 0.5813)

=====

# 3
Entry from the Alexandria database: a relaxed structure of ZrReAs (PBE).

Properties
Energy of formation from the pure elements in eV/atom: -0.22
Energy above the lowest structure with this stoichiometry in meV per atom: 290
SG: I4mm

Lattice parameters (Å, degrees): 5.6529 5.6529 5.6529 147.27 147.27 46.96
Positions (direct):
Zr (0.0000, 0.0000, 0.0000)
Re (0.3220, 0.3220, 0.0000)
As (0.7002, 0.7002, 0.0000)

=====

# 4
Entry from the Alexandria database: a relaxed structure of Zr2ReAs (PBE).

Properties
Energy of formation from the pure elements in eV/atom: 0.01
SG: F-43m

Lattice parameters (Å, degrees): 4.6720 4.6720 4.6720 60.00 60.00 60.00
Positions (direct):
Zr (0.0000, 0.0000, 0.0000)
Zr (0.2500, 0.2500, 0.2500)
Re (0.7500, 0.7500, 0.7500)
As (0.5000, 0.5000, 0.5000)

=====

# 5
Entry from the Alexandria database: a relaxed structure of ZrReAs (PBE).

Properties
Energy of formation from the pure elements in eV/atom: -0.45
Energy above the lowest structure with this stoichiometry in meV per atom: 56
SG: Pmmn

Lattice parameters (Å, degrees): 3.1961 4.5774 7.2007 90.00 90.00 90.00
Positions (direct):
Zr (0.2500, 0.2500, 0.1767)
Zr (0.7500, 0.7500, 0.8233)
Re (0.2500, 0.7500, 0.4713)
Re (0.7500, 0.2500, 0.5287)
As (0.2500, 0.2500, 0.7945)
As (0.7500, 0.7500, 0.2055)

=====

# 6
Entry from the Alexandria database: a relaxed structure of ZrReAs (PBE).

Properties
Energy of formation from the pure elements in eV/atom: -0.51
Energy above the lowest structure with this stoichiometry in meV per atom: 0
SG: Cmcm

Lattice parameters (Å, degrees): 5.3340 5.3340 5.2798 90.00 90.00 136.19
Positions (direct):
Zr (0.2026, 0.7974, 0.7500)
Zr (0.7974, 0.2026, 0.2500)
Re (0.5000, 0.5000, 0.0000)
Re (0.5000, 0.5000, 0.5000)
As (0.1039, 0.8961, 0.2500)
As (0.8961, 0.1039, 0.7500)

=====

Number 1: theoretical density 9.2 g cm⁻³. Number 2: theoretical density 9.7 g cm⁻³. Number 3: theoretical density 11.1 g cm⁻³. Number 4: theoretical density 10.2 g cm⁻³. Number 5: theoretical density 11.1 g cm⁻³. Number 6: theoretical density 11.3 g cm⁻³.